1.
Here is a geometry-optimized Ca3HgPb2 structure from the Alexandria database. Energies are from GGA-PBE.

## Properties
Theoretical density   6.91 Mg/m³
SG   No. 164
M_tot   0.00 μB/f.u.
Total DFT energy (no corrections)   -34.064 eV/cell
Crystal system   trigonal
ΔH_f (0 K)   -0.551 eV per atom

a = 5.5014 Å, b = 5.5014 Å, c = 13.4839 Å
α = 90.00°, β = 90.00°, γ = 120.00°
Closest atoms and distances in Å follow each position.
Fractional coordinates of all 12 atoms:
Ca1 0.0000 0.0000 0.2455  5 Pb 3.31-3.43, 3 Hg 3.35
Ca2 0.0000 0.0000 0.7545  5 Pb 3.31-3.43, 3 Hg 3.35
Ca3 0.3333 0.6667 0.4125  1 Hg 3.30, 7 Pb 3.36-3.45
Ca4 0.3333 0.6667 0.9184  4 Hg 3.36-3.38, 4 Pb 3.36-3.37
Ca5 0.6667 0.3333 0.0816  4 Hg 3.36-3.38, 4 Pb 3.36-3.37
Ca6 0.6667 0.3333 0.5875  1 Hg 3.30, 7 Pb 3.36-3.45
Hg1 0.3333 0.6667 0.1675  8 Ca 3.30-3.38
Hg2 0.6667 0.3333 0.8325  8 Ca 3.30-3.38
Pb1 0.0000 0.0000 0.0000  8 Ca 3.31-3.36
Pb2 0.0000 0.0000 0.5000  8 Ca 3.39-3.43
Pb3 0.3333 0.6667 0.6687  8 Ca 3.36-3.45
Pb4 0.6667 0.3333 0.3313  8 Ca 3.36-3.45

2.
Here is a geometry-optimized Ca2Hg3Pb2 structure from the Alexandria database. Energies are from GGA-PBE.

## Properties
Theoretical density   8.76 Mg/m³
SG   No. 199
M_tot   0.00 μB/f.u.
Total DFT energy (no corrections)   -28.048 eV/cell
Crystal system   cubic
ΔH_f (0 K)   -0.243 eV per atom

a = 8.1424 Å, b = 8.1424 Å, c = 8.1424 Å
α = 109.47°, β = 109.47°, γ = 109.47°
Closest atoms and distances in Å follow each position.
Fractional coordinates of all 14 atoms:
Ca1 0.0000 0.0423 0.5000  6 Hg 3.19-3.22, 1 Pb 3.23
Ca2 0.0423 0.5000 0.0000  6 Hg 3.19-3.22, 1 Pb 3.23
Ca3 0.4577 0.4577 0.4577  6 Hg 3.19-3.22, 1 Pb 3.23
Ca4 0.5000 0.0000 0.0423  6 Hg 3.19-3.22, 1 Pb 3.23
Hg1 0.2246 0.9746 0.2500  2 Pb 3.14, 4 Ca 3.19-3.22, 4 Hg 3.51
Hg2 0.2500 0.2246 0.9746  2 Pb 3.14, 4 Ca 3.19-3.22, 4 Hg 3.51
Hg3 0.2754 0.5254 0.7500  2 Pb 3.14, 4 Ca 3.19-3.22, 4 Hg 3.51
Hg4 0.5254 0.7500 0.2754  2 Pb 3.14, 4 Ca 3.19-3.22, 4 Hg 3.51
Hg5 0.7500 0.2754 0.5254  2 Pb 3.14, 4 Ca 3.19-3.22, 4 Hg 3.51
Hg6 0.9746 0.2500 0.2246  2 Pb 3.14, 4 Ca 3.19-3.22, 4 Hg 3.51
Pb1 0.0000 0.6458 0.5000  3 Hg 3.14, 1 Ca 3.23
Pb2 0.5000 0.0000 0.6458  3 Hg 3.14, 1 Ca 3.23
Pb3 0.6458 0.5000 0.0000  3 Hg 3.14, 1 Ca 3.23
Pb4 0.8542 0.8542 0.8542  3 Hg 3.14, 1 Ca 3.23

3.
Here is a geometry-optimized Ca11Hg4Pb9 structure from the Alexandria database. Energies are from GGA-PBE.

## Properties
Theoretical density   7.26 Mg/m³
SG   No. 65
M_tot   0.00 μB/f.u.
Total DFT energy (no corrections)   -68.612 eV/cell
Crystal system   orthorhombic
ΔH_f (0 K)   -0.501 eV per atom

a = 13.9056 Å, b = 13.9056 Å, c = 3.9907 Å
α = 90.00°, β = 90.00°, γ = 112.86°
Closest atoms and distances in Å follow each position.
Fractional coordinates of all 24 atoms:
Ca1 0.0000 0.0000 0.0000  8 Pb 3.38, 2 Ca 3.73
Ca2 0.0720 0.4134 0.0000  2 Hg 3.13, 6 Pb 3.40-3.45
Ca3 0.1610 0.8390 0.0000  8 Pb 3.42-3.54, 3 Ca 3.73-3.74
Ca4 0.2916 0.2916 0.0000  4 Hg 3.19, 4 Pb 3.53
Ca5 0.3524 0.6476 0.0000  4 Hg 3.19, 4 Pb 3.49
Ca6 0.4134 0.0720 0.0000  2 Hg 3.13, 6 Pb 3.40-3.45
Ca7 0.5866 0.9280 0.0000  2 Hg 3.13, 6 Pb 3.40-3.45
Ca8 0.6476 0.3524 0.0000  4 Hg 3.19, 4 Pb 3.49
Ca9 0.7084 0.7084 0.0000  4 Hg 3.19, 4 Pb 3.53
Ca10 0.8390 0.1610 0.0000  8 Pb 3.42-3.54, 3 Ca 3.73-3.74
Ca11 0.9280 0.5866 0.0000  2 Hg 3.13, 6 Pb 3.40-3.45
Hg1 0.2577 0.4548 0.5000  6 Ca 3.13-3.19, 3 Pb 3.18-3.44
Hg2 0.4548 0.2577 0.5000  6 Ca 3.13-3.19, 3 Pb 3.18-3.44
Hg3 0.5452 0.7423 0.5000  6 Ca 3.13-3.19, 3 Pb 3.18-3.44
Hg4 0.7423 0.5452 0.5000  6 Ca 3.13-3.19, 3 Pb 3.18-3.44
Pb1 0.0642 0.2125 0.5000  8 Ca 3.38-3.54, 1 Hg 3.40, 1 Pb 3.43
Pb2 0.1406 0.6321 0.5000  8 Ca 3.42-3.49, 1 Hg 3.44, 1 Pb 3.50
Pb3 0.2125 0.0642 0.5000  8 Ca 3.38-3.54, 1 Hg 3.40, 1 Pb 3.43
Pb4 0.3679 0.8594 0.5000  8 Ca 3.42-3.49, 1 Hg 3.44, 1 Pb 3.50
Pb5 0.5000 0.5000 0.5000  4 Hg 3.18
Pb6 0.6321 0.1406 0.5000  8 Ca 3.42-3.49, 1 Hg 3.44, 1 Pb 3.50
Pb7 0.7875 0.9358 0.5000  8 Ca 3.38-3.54, 1 Hg 3.40, 1 Pb 3.43
Pb8 0.8594 0.3679 0.5000  8 Ca 3.42-3.49, 1 Hg 3.44, 1 Pb 3.50
Pb9 0.9358 0.7875 0.5000  8 Ca 3.38-3.54, 1 Hg 3.40, 1 Pb 3.43

4.
Here is a geometry-optimized CaHg4Pb structure from the Alexandria database. Energies are from GGA-PBE.

## Properties
Theoretical density   10.94 Mg/m³
SG   No. 12
M_tot   0.00 μB/f.u.
Total DFT energy (no corrections)   -8.187 eV/cell
Crystal system   monoclinic
ΔH_f (0 K)   -0.212 eV per atom

a = 3.9080 Å, b = 3.9080 Å, c = 10.4307 Å
α = 90.05°, β = 90.05°, γ = 90.00°
Closest atoms and distances in Å follow each position.
Fractional coordinates of all 6 atoms:
Ca1 0.0000 0.0000 0.0000  10 Hg 3.28-3.34
Hg1 0.0002 0.0002 0.3200  4 Hg 3.17-3.18, 1 Ca 3.34, 4 Pb 3.34
Hg2 0.9998 0.9998 0.6800  4 Hg 3.17-3.18, 1 Ca 3.34, 4 Pb 3.34
Hg3 0.5004 0.5004 0.1700  5 Hg 3.17-3.55, 4 Ca 3.28, 1 Pb 3.44
Hg4 0.4996 0.4996 0.8300  5 Hg 3.17-3.55, 4 Ca 3.28, 1 Pb 3.44
Pb1 0.5000 0.5000 0.5000  10 Hg 3.34-3.44

5.
Here is a geometry-optimized Ca2HgPb structure from the Alexandria database. Energies are from GGA-PBE.

## Properties
Theoretical density   6.35 Mg/m³
SG   No. 10
M_tot   0.00 μB/f.u.
Total DFT energy (no corrections)   -9.595 eV/cell
Crystal system   monoclinic
ΔH_f (0 K)   -0.395 eV per atom

a = 5.3736 Å, b = 3.7815 Å, c = 6.4840 Å
α = 90.00°, β = 104.42°, γ = 90.00°
Closest atoms and distances in Å follow each position.
Fractional coordinates of all 4 atoms:
Ca1 0.0000 0.0000 0.0000  2 Hg 3.24, 4 Pb 3.29
Ca2 0.5000 0.5000 0.5000  2 Pb 3.24, 4 Hg 3.29
Hg1 0.0000 0.0000 0.5000  6 Ca 3.24-3.29
Pb1 0.5000 0.5000 0.0000  6 Ca 3.24-3.29

6.
Here is a geometry-optimized Ca3HgPb2 structure from the Alexandria database. Energies are from GGA-PBE.

## Properties
Theoretical density   6.96 Mg/m³
SG   No. 123
M_tot   0.00 μB/f.u.
Total DFT energy (no corrections)   -17.042 eV/cell
Crystal system   tetragonal
ΔH_f (0 K)   -0.553 eV per atom

a = 3.7433 Å, b = 3.7433 Å, c = 12.5144 Å
α = 90.00°, β = 90.00°, γ = 90.00°
Closest atoms and distances in Å follow each position.
Fractional coordinates of all 6 atoms:
Ca1 0.0000 0.0000 0.0000  8 Pb 3.45, 4 Ca 3.74
Ca2 0.0000 0.0000 0.3469  4 Hg 3.27, 4 Pb 3.39
Ca3 0.0000 0.0000 0.6531  4 Hg 3.27, 4 Pb 3.39
Hg1 0.5000 0.5000 0.5000  8 Ca 3.27
Pb1 0.5000 0.5000 0.1770  8 Ca 3.39-3.45, 4 Pb 3.74
Pb2 0.5000 0.5000 0.8230  8 Ca 3.39-3.45, 4 Pb 3.74

7.
Here is a geometry-optimized Ca3HgPb4 structure from the Alexandria database. Energies are from GGA-PBE.

## Properties
Theoretical density   7.19 Mg/m³
SG   No. 2
M_tot   0.00 μB/f.u.
Total DFT energy (no corrections)   -22.987 eV/cell
Crystal system   triclinic
ΔH_f (0 K)   -0.231 eV per atom

a = 3.8204 Å, b = 5.1138 Å, c = 13.8890 Å
α = 99.04°, β = 97.54°, γ = 90.01°
Closest atoms and distances in Å follow each position.
Fractional coordinates of all 8 atoms:
Ca1 0.0000 0.0000 0.0000  4 Hg 3.19, 2 Pb 3.55
Ca2 0.2964 0.2895 0.5895  7 Pb 3.32-3.53
Ca3 0.7036 0.7105 0.4105  7 Pb 3.32-3.53
Hg1 0.5000 0.5000 0.0000  4 Ca 3.19, 4 Pb 3.23-3.25
Pb1 0.0976 0.6115 0.1923  2 Hg 3.23-3.25, 2 Pb 3.25-3.28, 3 Ca 3.52-3.55
Pb2 0.1699 0.1796 0.3415  2 Pb 3.25-3.28, 5 Ca 3.32-3.37
Pb3 0.8301 0.8204 0.6585  2 Pb 3.25-3.28, 5 Ca 3.32-3.37
Pb4 0.9024 0.3885 0.8077  2 Hg 3.23-3.25, 2 Pb 3.25-3.28, 3 Ca 3.52-3.55

8.
Here is a geometry-optimized CaHg2Pb structure from the Alexandria database. Energies are from GGA-PBE.

## Properties
Theoretical density   9.15 Mg/m³
SG   No. 166
M_tot   0.00 μB/f.u.
Total DFT energy (no corrections)   -7.205 eV/cell
Crystal system   trigonal
ΔH_f (0 K)   -0.223 eV per atom

a = 9.7149 Å, b = 9.7149 Å, c = 9.7149 Å
α = 22.49°, β = 22.49°, γ = 22.49°
Closest atoms and distances in Å follow each position.
Fractional coordinates of all 4 atoms:
Ca1 0.0000 0.0000 0.0000  6 Hg 3.16
Hg1 0.2531 0.2531 0.2531  3 Ca 3.16, 3 Pb 3.29
Hg2 0.7469 0.7469 0.7469  3 Ca 3.16, 3 Pb 3.29
Pb1 0.5000 0.5000 0.5000  6 Hg 3.29

9.
Here is a geometry-optimized Ca3Hg12Pb structure from the Alexandria database. Energies are from GGA-PBE.

## Properties
Theoretical density   10.89 Mg/m³
SG   No. 123
M_tot   0.00 μB/f.u.
Total DFT energy (no corrections)   -17.860 eV/cell
Crystal system   tetragonal
ΔH_f (0 K)   -0.283 eV per atom

a = 4.6860 Å, b = 4.6860 Å, c = 18.9839 Å
α = 90.00°, β = 90.00°, γ = 90.00°
Closest atoms and distances in Å follow each position.
Fractional coordinates of all 16 atoms:
Ca1 0.0000 0.0000 0.0000  12 Hg 3.31-3.32
Ca2 0.0000 0.0000 0.2508  12 Hg 3.27-3.36
Ca3 0.0000 0.0000 0.7492  12 Hg 3.27-3.36
Hg1 0.0000 0.5000 0.1238  8 Hg 3.29-3.32, 4 Ca 3.32-3.36
Hg2 0.0000 0.5000 0.3709  2 Ca 3.27, 8 Hg 3.31-3.39, 2 Pb 3.39
Hg3 0.0000 0.5000 0.6291  2 Ca 3.27, 8 Hg 3.31-3.39, 2 Pb 3.39
Hg4 0.0000 0.5000 0.8762  8 Hg 3.29-3.32, 4 Ca 3.32-3.36
Hg5 0.5000 0.0000 0.1238  8 Hg 3.29-3.32, 4 Ca 3.32-3.36
Hg6 0.5000 0.0000 0.3709  2 Ca 3.27, 8 Hg 3.31-3.39, 2 Pb 3.39
Hg7 0.5000 0.0000 0.6291  2 Ca 3.27, 8 Hg 3.31-3.39, 2 Pb 3.39
Hg8 0.5000 0.0000 0.8762  8 Hg 3.29-3.32, 4 Ca 3.32-3.36
Hg9 0.5000 0.5000 0.0000  4 Ca 3.31, 8 Hg 3.32
Hg10 0.5000 0.5000 0.2453  8 Hg 3.29-3.34, 4 Ca 3.32
Hg11 0.5000 0.5000 0.5000  4 Pb 3.31, 8 Hg 3.39
Hg12 0.5000 0.5000 0.7547  8 Hg 3.29-3.34, 4 Ca 3.32
Pb1 0.0000 0.0000 0.5000  12 Hg 3.31-3.39

10.
Here is a geometry-optimized Ca3Hg6Pb2 structure from the Alexandria database. Energies are from GGA-PBE.

## Properties
Theoretical density   8.56 Mg/m³
SG   No. 139
M_tot   0.00 μB/f.u.
Total DFT energy (no corrections)   -17.868 eV/cell
Crystal system   tetragonal
ΔH_f (0 K)   -0.240 eV per atom

a = 15.9561 Å, b = 15.9561 Å, c = 15.9561 Å
α = 163.25°, β = 163.25°, γ = 23.78°
Closest atoms and distances in Å follow each position.
Fractional coordinates of all 11 atoms:
Ca1 0.0000 0.0000 0.0000  8 Hg 3.22
Ca2 0.1477 0.1477 0.0000  5 Hg 3.17-3.33, 4 Pb 3.29
Ca3 0.8523 0.8523 0.0000  5 Hg 3.17-3.33, 4 Pb 3.29
Hg1 0.0715 0.5715 0.5000  4 Ca 3.22-3.33, 4 Hg 3.29, 2 Pb 3.38
Hg2 0.2493 0.2493 0.0000  1 Pb 3.14, 1 Ca 3.17, 4 Hg 3.29
Hg3 0.4285 0.9285 0.5000  4 Ca 3.22-3.33, 4 Hg 3.29, 2 Pb 3.38
Hg4 0.5715 0.0715 0.5000  4 Ca 3.22-3.33, 4 Hg 3.29, 2 Pb 3.38
Hg5 0.7507 0.7507 0.0000  1 Pb 3.14, 1 Ca 3.17, 4 Hg 3.29
Hg6 0.9285 0.4285 0.5000  4 Ca 3.22-3.33, 4 Hg 3.29, 2 Pb 3.38
Pb1 0.3497 0.3497 0.0000  5 Hg 3.14-3.38, 4 Ca 3.29
Pb2 0.6503 0.6503 0.0000  5 Hg 3.14-3.38, 4 Ca 3.29

Repeat the third record exactly.
Here is a geometry-optimized Ca11Hg4Pb9 structure from the Alexandria database. Energies are from GGA-PBE.

## Properties
Theoretical density   7.26 Mg/m³
SG   No. 65
M_tot   0.00 μB/f.u.
Total DFT energy (no corrections)   -68.612 eV/cell
Crystal system   orthorhombic
ΔH_f (0 K)   -0.501 eV per atom

a = 13.9056 Å, b = 13.9056 Å, c = 3.9907 Å
α = 90.00°, β = 90.00°, γ = 112.86°
Closest atoms and distances in Å follow each position.
Fractional coordinates of all 24 atoms:
Ca1 0.0000 0.0000 0.0000  8 Pb 3.38, 2 Ca 3.73
Ca2 0.0720 0.4134 0.0000  2 Hg 3.13, 6 Pb 3.40-3.45
Ca3 0.1610 0.8390 0.0000  8 Pb 3.42-3.54, 3 Ca 3.73-3.74
Ca4 0.2916 0.2916 0.0000  4 Hg 3.19, 4 Pb 3.53
Ca5 0.3524 0.6476 0.0000  4 Hg 3.19, 4 Pb 3.49
Ca6 0.4134 0.0720 0.0000  2 Hg 3.13, 6 Pb 3.40-3.45
Ca7 0.5866 0.9280 0.0000  2 Hg 3.13, 6 Pb 3.40-3.45
Ca8 0.6476 0.3524 0.0000  4 Hg 3.19, 4 Pb 3.49
Ca9 0.7084 0.7084 0.0000  4 Hg 3.19, 4 Pb 3.53
Ca10 0.8390 0.1610 0.0000  8 Pb 3.42-3.54, 3 Ca 3.73-3.74
Ca11 0.9280 0.5866 0.0000  2 Hg 3.13, 6 Pb 3.40-3.45
Hg1 0.2577 0.4548 0.5000  6 Ca 3.13-3.19, 3 Pb 3.18-3.44
Hg2 0.4548 0.2577 0.5000  6 Ca 3.13-3.19, 3 Pb 3.18-3.44
Hg3 0.5452 0.7423 0.5000  6 Ca 3.13-3.19, 3 Pb 3.18-3.44
Hg4 0.7423 0.5452 0.5000  6 Ca 3.13-3.19, 3 Pb 3.18-3.44
Pb1 0.0642 0.2125 0.5000  8 Ca 3.38-3.54, 1 Hg 3.40, 1 Pb 3.43
Pb2 0.1406 0.6321 0.5000  8 Ca 3.42-3.49, 1 Hg 3.44, 1 Pb 3.50
Pb3 0.2125 0.0642 0.5000  8 Ca 3.38-3.54, 1 Hg 3.40, 1 Pb 3.43
Pb4 0.3679 0.8594 0.5000  8 Ca 3.42-3.49, 1 Hg 3.44, 1 Pb 3.50
Pb5 0.5000 0.5000 0.5000  4 Hg 3.18
Pb6 0.6321 0.1406 0.5000  8 Ca 3.42-3.49, 1 Hg 3.44, 1 Pb 3.50
Pb7 0.7875 0.9358 0.5000  8 Ca 3.38-3.54, 1 Hg 3.40, 1 Pb 3.43
Pb8 0.8594 0.3679 0.5000  8 Ca 3.42-3.49, 1 Hg 3.44, 1 Pb 3.50
Pb9 0.9358 0.7875 0.5000  8 Ca 3.38-3.54, 1 Hg 3.40, 1 Pb 3.43

- M_tot of number 1 (Ca3HgPb2)?
  0.00 μB/f.u.